Compound: La8Sm2Sn3
Source: Alexandria via LeMat-Bulk
Functional: GGA-PBE
Structure: relaxed

POSCAR file:
```
La8Sm2Sn3
1.0
6.640 0.000 0.000
3.320 5.751 0.000
3.320 1.917 12.047
Sn La Sm
3 8 2
direct
0.193 0.193 0.420
0.807 0.807 0.580
0.000 0.000 0.000
0.282 0.282 0.155
0.787 0.280 0.653
0.280 0.787 0.653
0.718 0.718 0.845
0.280 0.280 0.653
0.720 0.720 0.347
0.213 0.720 0.347
0.720 0.213 0.347
0.365 0.365 0.904
0.635 0.635 0.096
```

Volume in Å³ per atom: 35.39
E_tot in eV/f.u.: -61.6